(1)
Below is an optimized crystal structure of ZnCu6Pd2, with properties calculated at the PBE-GGA level.

Unit cell a=5.7878 b=8.8577 c=5.7878 alpha=66.74 beta=95.84 gamma=66.74
Sites, in units of the cell vectors:
Zn: 0.9070 0.7500 0.0930
Zn: 0.0930 0.2500 0.9070
Cu: 0.2472 0.4241 0.5207
Cu: 0.4793 0.0759 0.7528
Cu: 0.7528 0.5759 0.4793
Cu: 0.5207 0.9241 0.2472
Cu: 0.1479 0.0721 0.4182
Cu: 0.5818 0.4279 0.8521
Cu: 0.8521 0.9279 0.5818
Cu: 0.4182 0.5721 0.1479
Cu: 0.1855 0.9271 0.9141
Cu: 0.0859 0.5729 0.8145
Cu: 0.8145 0.0729 0.0859
Cu: 0.9141 0.4271 0.1855
Pd: 0.2308 0.7484 0.4230
Pd: 0.5770 0.7516 0.7692
Pd: 0.7692 0.2516 0.5770
Pd: 0.4230 0.2484 0.2308

Values from the calculation:
The calculation puts the density of states at the Fermi level at 8.80 states/eV/cell. The symmetry is C2/c (15). Its total DFT energy (no corrections) is -73.8 eV/cell. Its calculated formation energy is -0.7 eV/f.u. Its energy relative to the lowest polymorph listed for this composition is 0.00 kJ/mol of atoms.

---

(2)
Below is an optimized crystal structure of Zn4CuPd, with properties calculated at the PBE-GGA level.

Unit cell a=5.2493 b=7.3224 c=5.9192 alpha=128.21 beta=92.91 gamma=90.00
Sites, in units of the cell vectors:
Zn: 0.6204 0.5596 0.2455
Zn: 0.6204 0.1859 0.2455
Zn: 0.1204 0.6859 0.2455
Zn: 0.1204 0.0596 0.2455
Zn: 0.3796 0.8141 0.7545
Zn: 0.3796 0.4404 0.7545
Zn: 0.8796 0.9404 0.7545
Zn: 0.8796 0.3141 0.7545
Cu: 0.7500 0.7500 0.0000
Cu: 0.2500 0.2500 0.0000
Pd: 0.5000 0.0000 0.5000
Pd: 0.0000 0.5000 0.5000

Values from the calculation:
The calculation puts the density of states at the Fermi level at 3.86 states/eV/cell. The symmetry is C2/m (12). Its total DFT energy (no corrections) is -30.5 eV/cell. Its calculated formation energy is -0.9 eV/f.u. Its energy relative to the lowest polymorph listed for this composition is 8.11 kJ/mol of atoms.

---

(3)
Below is an optimized crystal structure of Zn3Cu2Pd, with properties calculated at the PBE-GGA level.

Unit cell a=3.0532 b=3.0532 c=8.7243 alpha=90.00 beta=90.00 gamma=90.00
Sites, in units of the cell vectors:
Zn: 0.0000 0.0000 0.0000
Zn: 0.0000 0.0000 0.6774
Zn: 0.0000 0.0000 0.3226
Cu: 0.5000 0.5000 0.8398
Cu: 0.5000 0.5000 0.1602
Pd: 0.5000 0.5000 0.5000

Values from the calculation:
The calculation puts the density of states at the Fermi level at 1.42 states/eV/cell. The symmetry is P4/mmm (123). Its total DFT energy (no corrections) is -18.6 eV/cell. Its calculated formation energy is -1.4 eV/f.u. Its energy relative to the lowest polymorph listed for this composition is 0.00 kJ/mol of atoms.

---

(4)
Below is an optimized crystal structure of ZnCu2Pd3, with properties calculated at the PBE-GGA level.

Unit cell a=4.3021 b=6.7995 c=6.0354 alpha=90.00 beta=90.00 gamma=71.56
Sites, in units of the cell vectors:
Zn: 0.3359 0.3281 0.0000
Zn: 0.6641 0.6719 0.0000
Cu: 0.0000 0.0000 0.0000
Cu: 0.0000 0.0000 0.5000
Cu: 0.3330 0.3341 0.5000
Cu: 0.6670 0.6659 0.5000
Pd: 0.8329 0.3342 0.7504
Pd: 0.5000 0.0000 0.2517
Pd: 0.1671 0.6659 0.2496
Pd: 0.8329 0.3342 0.2496
Pd: 0.1671 0.6659 0.7504
Pd: 0.5000 0.0000 0.7483

Values from the calculation:
The calculation puts the density of states at the Fermi level at 2.78 states/eV/cell. The symmetry is Cmmm (65). Its total DFT energy (no corrections) is -53.8 eV/cell. Its calculated formation energy is -1.8 eV/f.u. Its energy relative to the lowest polymorph listed for this composition is 0.00 kJ/mol of atoms.

---

(5)
Below is an optimized crystal structure of Zn5Cu2Pd, with properties calculated at the PBE-GGA level.

Unit cell a=3.8309 b=3.8308 c=7.9890 alpha=103.90 beta=103.87 gamma=90.00
Sites, in units of the cell vectors:
Zn: 0.1313 0.6312 0.2626
Zn: 0.6313 0.1317 0.2626
Zn: 0.3687 0.8683 0.7374
Zn: 0.8687 0.3688 0.7374
Zn: 0.0000 0.0000 0.0000
Cu: 0.2505 0.2501 0.5010
Cu: 0.7495 0.7499 0.4990
Pd: 0.5000 0.5000 0.0000

Values from the calculation:
The calculation puts the density of states at the Fermi level at 2.03 states/eV/cell. The symmetry is I4/mmm (139). Its total DFT energy (no corrections) is -21.5 eV/cell. Its calculated formation energy is -1.7 eV/f.u. Its energy relative to the lowest polymorph listed for this composition is 0.00 kJ/mol of atoms.

---

(6)
Below is an optimized crystal structure of Zn4CuPd3, with properties calculated at the PBE-GGA level.

Unit cell a=3.0372 b=3.0372 c=12.2883 alpha=90.00 beta=90.00 gamma=90.00
Sites, in units of the cell vectors:
Zn: 0.0000 0.0000 0.8830
Zn: 0.0000 0.0000 0.1170
Zn: 0.0000 0.0000 0.3721
Zn: 0.0000 0.0000 0.6279
Pd: 0.5000 0.5000 0.2450
Pd: 0.5000 0.5000 0.5000
Pd: 0.5000 0.5000 0.7550
Cu: 0.5000 0.5000 0.0000

Values from the calculation:
The calculation puts the density of states at the Fermi level at 2.94 states/eV/cell. The symmetry is P4/mmm (123). Its total DFT energy (no corrections) is -28.2 eV/cell. Its calculated formation energy is -3.5 eV/f.u.

---

(7)
Below is an optimized crystal structure of ZnCu4Pd, with properties calculated at the PBE-GGA level.

Unit cell a=3.7160 b=4.5622 c=5.2738 alpha=107.00 beta=90.00 gamma=114.03
Sites, in units of the cell vectors:
Zn: 0.0000 0.0000 0.5000
Cu: 0.3326 0.6651 0.1694
Cu: 0.6674 0.3349 0.8306
Cu: 0.3282 0.6564 0.6620
Cu: 0.6718 0.3436 0.3380
Pd: 0.0000 0.0000 0.0000

Values from the calculation:
The calculation puts the density of states at the Fermi level at 1.59 states/eV/cell. The symmetry is C2/m (12). Its total DFT energy (no corrections) is -23.7 eV/cell. Its calculated formation energy is -0.8 eV/f.u. Its energy relative to the lowest polymorph listed for this composition is 0.00 kJ/mol of atoms.

---

(8)
Below is an optimized crystal structure of Zn2Cu8Pd, with properties calculated at the PBE-GGA level.

Unit cell a=3.9856 b=6.8320 c=6.8320 alpha=113.99 beta=106.80 gamma=106.80
Sites, in units of the cell vectors:
Zn: 0.5255 0.5833 0.2936
Zn: 0.5255 0.2936 0.5833
Pd: 0.6196 0.0318 0.0318
Cu: 0.8168 0.4279 0.0295
Cu: 0.8168 0.0295 0.4279
Cu: 0.0371 0.4506 0.4506
Cu: 0.1002 0.1653 0.8578
Cu: 0.1002 0.8578 0.1653
Cu: 0.8224 0.7351 0.7351
Cu: 0.3179 0.8865 0.5725
Cu: 0.3179 0.5725 0.8865

Values from the calculation:
The calculation puts the density of states at the Fermi level at 4.05 states/eV/cell. The symmetry is Cm (8). Its total DFT energy (no corrections) is -40.6 eV/cell. Its calculated formation energy is 0.0 eV/f.u. Its energy relative to the lowest polymorph listed for this composition is 0.00 kJ/mol of atoms.

---

(9)
Below is an optimized crystal structure of Zn3CuPd6, with properties calculated at the PBE-GGA level.

Unit cell a=4.7836 b=8.5727 c=8.5727 alpha=119.84 beta=90.00 gamma=90.00
Sites, in units of the cell vectors:
Zn: 0.4326 0.9456 0.7447
Zn: 0.9326 0.7447 0.9456
Zn: 0.1209 0.3924 0.6076
Zn: 0.6209 0.6076 0.3924
Zn: 0.9326 0.0544 0.2553
Zn: 0.4326 0.2553 0.0544
Cu: 0.1534 0.2196 0.7804
Cu: 0.6534 0.7804 0.2196
Pd: 0.0506 0.7061 0.6236
Pd: 0.5506 0.6236 0.7061
Pd: 0.3282 0.5532 0.9570
Pd: 0.8282 0.9570 0.5532
Pd: 0.4267 0.9405 0.0595
Pd: 0.6616 0.3011 0.6989
Pd: 0.1616 0.6989 0.3011
Pd: 0.9267 0.0595 0.9405
Pd: 0.3282 0.0430 0.4468
Pd: 0.8282 0.4468 0.0430
Pd: 0.0506 0.3764 0.2939
Pd: 0.5506 0.2939 0.3764

Values from the calculation:
The calculation puts the density of states at the Fermi level at 10.55 states/eV/cell. The symmetry is Cmc2_1 (36). Its total DFT energy (no corrections) is -82.7 eV/cell. Its calculated formation energy is -2.3 eV/f.u. Its energy relative to the lowest polymorph listed for this composition is 16.00 kJ/mol of atoms.

---

(10)
Below is an optimized crystal structure of Zn6CuPd, with properties calculated at the PBE-GGA level.

Unit cell a=4.7491 b=6.4630 c=6.4630 alpha=39.89 beta=67.40 gamma=67.40
Sites, in units of the cell vectors:
Zn: 0.9272 0.6254 0.6254
Zn: 0.6493 0.8793 0.8792
Zn: 0.6875 0.2506 0.2506
Zn: 0.3507 0.1207 0.1208
Zn: 0.0728 0.3746 0.3746
Zn: 0.3125 0.7494 0.7494
Cu: 0.5000 0.5000 0.5000
Pd: 0.0000 0.0000 0.0000

Values from the calculation:
The calculation puts the density of states at the Fermi level at 1.95 states/eV/cell. The symmetry is C2/m (12). Its total DFT energy (no corrections) is -18.2 eV/cell. Its calculated formation energy is -1.2 eV/f.u. Its energy relative to the lowest polymorph listed for this composition is 0.00 kJ/mol of atoms.

---

Which of these has the lowest calculated formation energy?
Zn4CuPd3